1.
Below is crystalline YTl2As at its relaxed geometry, with properties calculated at the PBE level.

Results
M_tot (μB per cell): 0.00
Formation energy (eV/f.u.): -0.1
Volume (Å³/cell): 105.9
Uncorrected energy (eV/atom): -3.99
Space group: Fm-3m (225)

Unit cell a=5.311 b=5.311 c=5.311 alpha=60.00 beta=60.00 gamma=60.00
Element x y z (fractional)
Y 0.000 0.000 0.000
Tl 0.250 0.250 0.250
Tl 0.750 0.750 0.750
As 0.500 0.500 0.500

2.
Below is crystalline Dy3ErC8 at its relaxed geometry, with properties calculated at the PBE level.

Results
M_tot (μB per cell): 0.00
Formation energy (eV/f.u.): -2.3
Volume (Å³/cell): 166.0
Uncorrected energy (eV/atom): -7.87
Space group: Immm (71)

Unit cell a=6.572 b=6.572 c=6.572 alpha=133.68 beta=123.82 gamma=75.69
Element x y z (fractional)
Dy 0.000 0.000 0.000
Dy 0.250 0.750 0.500
Dy 0.750 0.250 0.500
Er 0.500 0.500 0.000
C 0.105 0.500 0.605
C 0.147 0.251 0.895
C 0.356 0.251 0.105
C 0.395 0.000 0.395
C 0.605 0.000 0.605
C 0.644 0.749 0.895
C 0.853 0.749 0.105
C 0.895 0.500 0.395